Density functional theory data (PBE+U) for an optimized crystal structure of V2ZnAgO6.

a = 5.9407 Å, b = 7.9818 Å, c = 7.9818 Å
α = 89.43°, β = 70.64°, γ = 70.64°
With the nearest neighbours (Å) after each atom.
Atoms (fractional coordinates):
V (0.3146, 0.7937, 0.6229)  4 O 1.74-1.81
V (0.1854, 0.3771, 0.2063)  4 O 1.74-1.81
V (0.6854, 0.2063, 0.3771)  4 O 1.74-1.81
V (0.8146, 0.6229, 0.7937)  4 O 1.74-1.81
Zn (0.2500, 0.2175, 0.7825)  4 O 1.94-2.00
Zn (0.7500, 0.7825, 0.2175)  4 O 1.94-2.00
Ag (0.2500, 0.8755, 0.1245)  2 O 2.21
Ag (0.7500, 0.1245, 0.8755)  2 O 2.21
O (0.1688, 0.9956, 0.7665)  1 V 1.76
O (0.3312, 0.2335, 0.0044)  1 V 1.76
O (0.8312, 0.0044, 0.2335)  1 V 1.76
O (0.6688, 0.7665, 0.9956)  1 V 1.76
O (0.4195, 0.8220, 0.3974)  1 V 1.74, 1 Zn 1.94
O (0.0805, 0.6026, 0.1780)  1 V 1.74, 1 Zn 1.94
O (0.5805, 0.1780, 0.6026)  1 V 1.74, 1 Zn 1.94
O (0.9195, 0.3974, 0.8220)  1 V 1.74, 1 Zn 1.94
O (0.0856, 0.6809, 0.6647)  2 V 1.80-1.81
O (0.4144, 0.3353, 0.3191)  2 V 1.80-1.81
O (0.9144, 0.3191, 0.3353)  2 V 1.80-1.81
O (0.5856, 0.6647, 0.6809)  2 V 1.80-1.81

Properties
Theoretical density (g/cm³): 3.68
SG: C2/c, No. 15
Electronic total energy (eV for the cell shown): -127.32